No. 1
## ZrPOs (GGA-PBE)

Data for a relaxed ZrPOs crystal.

Geometry as CIF:
```
data_ZrPOs
_space_group_name_H-M_alt 'P 1'
_space_group_IT_number 1
_cell_length_a 6.4768
_cell_length_b 3.9247
_cell_length_c 7.3496
_cell_angle_alpha 90.00
_cell_angle_beta 90.00
_cell_angle_gamma 90.00
loop_
_space_group_symop_operation_xyz
'x,y,z'
loop_
_atom_site_label
_atom_site_fract_x
_atom_site_fract_y
_atom_site_fract_z
_atom_site_occupancy
P1 0.2220 0.7500 0.6227 1
P2 0.7780 0.2500 0.3773 1
Zr1 0.0208 0.2500 0.8218 1
Zr2 0.4792 0.7500 0.3218 1
Os1 0.8476 0.7500 0.5606 1
P3 0.2780 0.2500 0.1227 1
Os2 0.3476 0.7500 0.9394 1
P4 0.7220 0.7500 0.8773 1
Os3 0.1524 0.2500 0.4394 1
Zr3 0.5208 0.2500 0.6782 1
Zr4 0.9792 0.7500 0.1782 1
Os4 0.6524 0.2500 0.0606 1
```

## Properties
Space-group type: No. 62
Magnetization in μB/f.u.: 0.0
Electronic total energy in eV/cell: -111.9



No. 2
## PaOs (GGA-PBE)

Data for a relaxed PaOs crystal.

Geometry as CIF:
```
data_PaOs
_space_group_name_H-M_alt 'P 1'
_space_group_IT_number 1
_cell_length_a 3.1661
_cell_length_b 3.1662
_cell_length_c 4.5838
_cell_angle_alpha 90.00
_cell_angle_beta 90.00
_cell_angle_gamma 120.00
loop_
_space_group_symop_operation_xyz
'x,y,z'
loop_
_atom_site_label
_atom_site_fract_x
_atom_site_fract_y
_atom_site_fract_z
_atom_site_occupancy
Os1 0.6667 0.3333 0.7500 1
Pa1 0.3333 0.6667 0.2500 1
```

## Properties
Space-group type: No. 187
Magnetization in μB/f.u.: 0.0
Formation energy in eV/atom: 0.15
Electronic total energy in eV/cell: -20.4



No. 3
## PaOs (GGA-PBE)

Data for a relaxed PaOs crystal.

Geometry as CIF:
```
data_PaOs
_space_group_name_H-M_alt 'P 1'
_space_group_IT_number 1
_cell_length_a 4.3265
_cell_length_b 4.3265
_cell_length_c 4.3265
_cell_angle_alpha 60.00
_cell_angle_beta 60.00
_cell_angle_gamma 60.00
loop_
_space_group_symop_operation_xyz
'x,y,z'
loop_
_atom_site_label
_atom_site_fract_x
_atom_site_fract_y
_atom_site_fract_z
_atom_site_occupancy
Pa1 0.2500 0.2500 0.2500 1
Os1 0.0000 0.0000 0.0000 1
```

## Properties
Space-group type: No. 216
Magnetization in μB/f.u.: 0.7
Formation energy in eV/atom: 0.69
Electronic total energy in eV/cell: -19.3



No. 4
## PaOs2 (GGA-PBE)

Data for a relaxed PaOs2 crystal.

Geometry as CIF:
```
data_PaOs2
_space_group_name_H-M_alt 'P 1'
_space_group_IT_number 1
_cell_length_a 8.2618
_cell_length_b 8.2618
_cell_length_c 8.2618
_cell_angle_alpha 60.02
_cell_angle_beta 60.02
_cell_angle_gamma 60.02
loop_
_space_group_symop_operation_xyz
'x,y,z'
loop_
_atom_site_label
_atom_site_fract_x
_atom_site_fract_y
_atom_site_fract_z
_atom_site_occupancy
Os1 0.3750 0.3750 0.8750 1
Os2 0.3750 0.3750 0.3750 1
Pa1 0.5000 0.5000 0.5000 1
Os3 0.3750 0.8750 0.3750 1
Pa2 0.2500 0.2500 0.2500 1
Os4 0.8750 0.3750 0.3750 1
```

## Properties
Space-group type: No. 227
Magnetization in μB/f.u.: 3.0
Formation energy in eV/atom: 3.12
Electronic total energy in eV/cell: -45.2



No. 5
## PaOs (GGA-PBE)

Data for a relaxed PaOs crystal.

Geometry as CIF:
```
data_PaOs
_space_group_name_H-M_alt 'P 1'
_space_group_IT_number 1
_cell_length_a 3.9705
_cell_length_b 3.9705
_cell_length_c 3.9705
_cell_angle_alpha 60.00
_cell_angle_beta 60.00
_cell_angle_gamma 60.00
loop_
_space_group_symop_operation_xyz
'x,y,z'
loop_
_atom_site_label
_atom_site_fract_x
_atom_site_fract_y
_atom_site_fract_z
_atom_site_occupancy
Os1 0.0000 0.0000 0.0000 1
Pa1 0.5000 0.5000 0.5000 1
```

## Properties
Space-group type: No. 225
Magnetization in μB/f.u.: 0.0
Formation energy in eV/atom: -0.31
Electronic total energy in eV/cell: -21.3



No. 6
## PaOsPb (GGA-PBE)

Data for a relaxed PaOsPb crystal.

Geometry as CIF:
```
data_PaOsPb
_space_group_name_H-M_alt 'P 1'
_space_group_IT_number 1
_cell_length_a 4.8471
_cell_length_b 4.8471
_cell_length_c 4.8471
_cell_angle_alpha 60.00
_cell_angle_beta 60.00
_cell_angle_gamma 60.00
loop_
_space_group_symop_operation_xyz
'x,y,z'
loop_
_atom_site_label
_atom_site_fract_x
_atom_site_fract_y
_atom_site_fract_z
_atom_site_occupancy
Pa1 0.2500 0.2500 0.2500 1
Os1 0.5000 0.5000 0.5000 1
Pb1 0.0000 0.0000 0.0000 1
```

## Properties
Space-group type: No. 216
Magnetization in μB/f.u.: 0.0
Electronic total energy in eV/cell: -21.9